Entry 1:
The following is a PBE calculation of a relaxed structure of La2CuSi, from Alexandria.

CIF file:
```
data_La2CuSi
_space_group_name_H-M_alt 'P 1'
_space_group_IT_number 1
_cell_length_a 4.214
_cell_length_b 6.125
_cell_length_c 8.518
_cell_angle_alpha 111.44
_cell_angle_beta 90.00
_cell_angle_gamma 90.00
loop_
_space_group_symop_operation_xyz
'x,y,z'
loop_
_atom_site_label
_atom_site_type_symbol
_atom_site_fract_x
_atom_site_fract_y
_atom_site_fract_z
_atom_site_occupancy
Cu1 Cu 0.750 0.581 0.269 1
Si1 Si 0.750 0.652 0.791 1
La1 La 0.750 0.223 0.443 1
Cu2 Cu 0.250 0.419 0.731 1
Si2 Si 0.250 0.348 0.209 1
La2 La 0.250 0.777 0.557 1
La3 La 0.750 0.208 0.910 1
La4 La 0.250 0.792 0.090 1
```

As for the space-group type: P2_1/m. The formation energy (no corrections) is -0.46 eV/atom. The value obtained for the total energy is -5.3033 eV/atom. Its volume is 25.58 Å³/atom. The calculation puts the magnetization at 0.0 μB per formula unit.

=====

Entry 2:
The following is a PBE calculation of a relaxed structure of BaNa2Al, from Alexandria.

CIF file:
```
data_BaNa2Al
_space_group_name_H-M_alt 'P 1'
_space_group_IT_number 1
_cell_length_a 4.999
_cell_length_b 4.999
_cell_length_c 12.872
_cell_angle_alpha 78.80
_cell_angle_beta 78.80
_cell_angle_gamma 90.00
loop_
_space_group_symop_operation_xyz
'x,y,z'
loop_
_atom_site_label
_atom_site_type_symbol
_atom_site_fract_x
_atom_site_fract_y
_atom_site_fract_z
_atom_site_occupancy
Na1 Na 0.875 0.815 0.750 1
Na2 Na 0.375 0.435 0.750 1
Ba1 Ba 0.000 0.000 0.000 1
Na3 Na 0.185 0.625 0.250 1
Al1 Al 0.500 0.500 0.000 1
Na4 Na 0.565 0.125 0.250 1
Ba2 Ba 0.750 0.250 0.500 1
Al2 Al 0.250 0.750 0.500 1
```

As for the space-group type: I-42d. The value obtained for the total energy is -1.8532 eV/atom. Its volume is 38.66 Å³/atom. The calculation puts the magnetization at 1.2 μB per formula unit.

=====

Entry 3:
The following is a PBE calculation of a relaxed structure of UTl2GeSe6, from Alexandria.

CIF file:
```
data_UTl2GeSe6
_space_group_name_H-M_alt 'P 1'
_space_group_IT_number 1
_cell_length_a 7.387
_cell_length_b 7.386
_cell_length_c 7.443
_cell_angle_alpha 60.25
_cell_angle_beta 60.25
_cell_angle_gamma 60.00
loop_
_space_group_symop_operation_xyz
'x,y,z'
loop_
_atom_site_label
_atom_site_type_symbol
_atom_site_fract_x
_atom_site_fract_y
_atom_site_fract_z
_atom_site_occupancy
Se1 Se 0.581 0.155 0.283 1
Ge1 Ge 0.325 0.325 0.026 1
Se2 Se 0.155 0.981 0.283 1
Se3 Se 0.701 0.077 0.775 1
Se4 Se 0.446 0.701 0.775 1
Tl1 Tl 0.027 0.027 0.920 1
U1 U 0.821 0.821 0.537 1
Tl2 Tl 0.547 0.547 0.359 1
Se5 Se 0.077 0.446 0.775 1
Se6 Se 0.981 0.581 0.283 1
```

As for the space-group type: R3. The formation energy (no corrections) is -0.43 eV/atom. The value obtained for the total energy is -4.5827 eV/atom. Its volume is 28.82 Å³/atom. The calculation puts the magnetization at 0.0 μB per formula unit.